DFT (PBE-GGA) results for a geometry-optimized PIrRhCl2 structure.

```
PIrRhCl2
1.0
4.9640 0.0000 0.0000
0.0000 4.9640 0.0000
0.0000 0.0000 4.4302
P Ir Rh Cl
1 1 1 2
direct
0.0000 0.0000 0.0000
0.0000 0.0000 0.5000
0.5000 0.5000 0.0000
0.0000 0.5000 0.5000
0.5000 0.0000 0.5000
```

Summary:
**Energy above the lowest structure with this stoichiometry**: 0.0 meV/atom
**SG**: P4/mmm
**Formation energy without anion corrections**: 0.81 eV per atom